This record from the Alexandria database describes DyGa4Ir2Pt after structural relaxation. The functional is PBE-GGA.

a = 8.8782 Å, b = 8.8782 Å, c = 8.8782 Å
α = 27.93°, β = 27.93°, γ = 27.93°
With the nearest neighbours (Å) after each atom.
Fractional coordinates of all 8 atoms:
Dy: 0.0000 0.0000 0.0000  8 Ga 2.95-3.29
Ga: 0.1285 0.1285 0.1285  4 Ir 2.60-2.74, 3 Pt 2.66
Ga: 0.3959 0.3959 0.3959  3 Ir 2.63, 1 Pt 2.66, 3 Dy 2.95
Ga: 0.6041 0.6041 0.6041  3 Ir 2.63, 1 Pt 2.66, 3 Dy 2.95
Ga: 0.8715 0.8715 0.8715  4 Ir 2.60-2.74, 3 Pt 2.66
Ir: 0.2354 0.2354 0.2354  7 Ga 2.60-2.74
Ir: 0.7646 0.7646 0.7646  7 Ga 2.60-2.74
Pt: 0.5000 0.5000 0.5000  8 Ga 2.66

Computed properties:
- Formation energy: -0.5474 eV/atom

=====

This record from the Alexandria database describes DyGa3IrPt after structural relaxation. The functional is PBE-GGA.

a = 6.8091 Å, b = 6.8091 Å, c = 5.4319 Å
α = 90.00°, β = 90.00°, γ = 105.06°
With the nearest neighbours (Å) after each atom.
Fractional coordinates of all 12 atoms:
Dy: 0.1915 0.8085 0.7500  1 Pt 2.74, 3 Ir 2.93-3.03, 2 Ga 3.04
Dy: 0.8085 0.1915 0.2500  1 Pt 2.74, 3 Ir 2.93-3.03, 2 Ga 3.04
Ga: 0.2392 0.2392 0.0000  2 Ir 2.59, 2 Pt 2.62, 2 Ga 2.72
Ga: 0.2392 0.2392 0.5000  2 Ir 2.59, 2 Pt 2.62, 2 Ga 2.72
Ga: 0.3178 0.6822 0.2500  1 Ir 2.47, 1 Pt 2.56
Ga: 0.6822 0.3178 0.7500  1 Ir 2.47, 1 Pt 2.56
Ga: 0.7608 0.7608 0.0000  2 Ir 2.59, 2 Pt 2.62, 2 Ga 2.72
Ga: 0.7608 0.7608 0.5000  2 Ir 2.59, 2 Pt 2.62, 2 Ga 2.72
Ir: 0.0892 0.9108 0.2500  5 Ga 2.47-2.59
Ir: 0.9108 0.0892 0.7500  5 Ga 2.47-2.59
Pt: 0.4449 0.5551 0.7500  5 Ga 2.56-2.62, 1 Dy 2.74
Pt: 0.5551 0.4449 0.2500  5 Ga 2.56-2.62, 1 Dy 2.74

Computed properties:
- Formation energy: -0.4966 eV/atom

=====

This record from the Alexandria database describes Dy2GaIr2Rh5 after structural relaxation. The functional is PBE-GGA.

a = 9.3595 Å, b = 9.3595 Å, c = 3.9562 Å
α = 90.00°, β = 90.00°, γ = 90.00°
With the nearest neighbours (Å) after each atom.
Fractional coordinates of all 20 atoms:
Dy: 0.1650 0.3350 0.0000  3 Ir 2.67-2.81, 2 Rh 2.95
Dy: 0.3350 0.8350 0.0000  3 Ir 2.67-2.81, 2 Rh 2.95
Dy: 0.6650 0.1650 0.0000  3 Ir 2.67-2.81, 2 Rh 2.95
Dy: 0.8350 0.6650 0.0000  3 Ir 2.67-2.81, 2 Rh 2.95
Ga: 0.0000 0.0000 0.0000  8 Rh 2.76
Ga: 0.5000 0.5000 0.0000  8 Rh 2.76
Ir: 0.1336 0.6336 0.0000  6 Rh 2.62-2.65, 3 Dy 2.67-2.81
Ir: 0.3664 0.1336 0.0000  6 Rh 2.62-2.65, 3 Dy 2.67-2.81
Ir: 0.6336 0.8664 0.0000  6 Rh 2.62-2.65, 3 Dy 2.67-2.81
Ir: 0.8664 0.3664 0.0000  6 Rh 2.62-2.65, 3 Dy 2.67-2.81
Rh: 0.0000 0.5000 0.5000  4 Ir 2.65, 4 Rh 2.92, 4 Dy 2.95
Rh: 0.0671 0.8051 0.5000  2 Ir 2.62, 3 Rh 2.73-2.92, 2 Ga 2.76
Rh: 0.1949 0.0671 0.5000  2 Ir 2.62, 3 Rh 2.73-2.92, 2 Ga 2.76
Rh: 0.3051 0.5671 0.5000  2 Ir 2.62, 3 Rh 2.73-2.92, 2 Ga 2.76
Rh: 0.4329 0.3051 0.5000  2 Ir 2.62, 3 Rh 2.73-2.92, 2 Ga 2.76
Rh: 0.5000 0.0000 0.5000  4 Ir 2.65, 4 Rh 2.92, 4 Dy 2.95
Rh: 0.5671 0.6949 0.5000  2 Ir 2.62, 3 Rh 2.73-2.92, 2 Ga 2.76
Rh: 0.6949 0.4329 0.5000  2 Ir 2.62, 3 Rh 2.73-2.92, 2 Ga 2.76
Rh: 0.8051 0.9329 0.5000  2 Ir 2.62, 3 Rh 2.73-2.92, 2 Ga 2.76
Rh: 0.9329 0.1949 0.5000  2 Ir 2.62, 3 Rh 2.73-2.92, 2 Ga 2.76

Computed properties:
- Formation energy: -0.4323 eV/atom

=====

This record from the Alexandria database describes DyGa2IrRu after structural relaxation. The functional is PBE-GGA.

a = 4.3548 Å, b = 4.3548 Å, c = 9.5883 Å
α = 90.00°, β = 90.00°, γ = 90.00°
With the nearest neighbours (Å) after each atom.
Fractional coordinates of all 10 atoms:
Dy: 0.0000 0.0000 0.0000  4 Ru 3.24, 4 Ir 3.24, 10 Ga 3.32-3.55
Dy: 0.5000 0.5000 0.5000  4 Ru 3.24, 4 Ir 3.24, 10 Ga 3.32-3.55
Ga: 0.0000 0.0000 0.3698  2 Ru 2.46, 2 Ir 2.46, 1 Ga 2.50
Ga: 0.0000 0.0000 0.6302  2 Ru 2.46, 2 Ir 2.46, 1 Ga 2.50
Ga: 0.5000 0.5000 0.1302  2 Ru 2.46, 2 Ir 2.46, 1 Ga 2.50
Ga: 0.5000 0.5000 0.8698  2 Ru 2.46, 2 Ir 2.46, 1 Ga 2.50
Ir: 0.0000 0.5000 0.7500  4 Ga 2.46
Ir: 0.5000 0.0000 0.2500  4 Ga 2.46
Ru: 0.0000 0.5000 0.2500  4 Ga 2.46
Ru: 0.5000 0.0000 0.7500  4 Ga 2.46

Computed properties:
- Formation energy: -0.5640 eV/atom

=====

This record from the Alexandria database describes DyGa4IrRu2 after structural relaxation. The functional is PBE-GGA.

a = 8.7914 Å, b = 8.7914 Å, c = 8.7914 Å
α = 28.03°, β = 28.03°, γ = 28.03°
With the nearest neighbours (Å) after each atom.
Fractional coordinates of all 8 atoms:
Dy: 0.0000 0.0000 0.0000  8 Ga 2.96-3.30
Ga: 0.1305 0.1305 0.1305  3 Ir 2.62, 4 Ru 2.62-2.75
Ga: 0.3985 0.3985 0.3985  3 Ru 2.56, 1 Ir 2.57
Ga: 0.6015 0.6015 0.6015  3 Ru 2.56, 1 Ir 2.57
Ga: 0.8695 0.8695 0.8695  3 Ir 2.62, 4 Ru 2.62-2.75
Ir: 0.5000 0.5000 0.5000  8 Ga 2.57-2.62
Ru: 0.2392 0.2392 0.2392  7 Ga 2.56-2.75
Ru: 0.7608 0.7608 0.7608  7 Ga 2.56-2.75

Computed properties:
- Formation energy: -0.4412 eV/atom

=====

This record from the Alexandria database describes DyGa4Ir2Ru after structural relaxation. The functional is PBE-GGA.

a = 8.7745 Å, b = 8.7745 Å, c = 8.7745 Å
α = 28.08°, β = 28.08°, γ = 28.08°
With the nearest neighbours (Å) after each atom.
Fractional coordinates of all 8 atoms:
Dy: 0.0000 0.0000 0.0000  6 Ga 2.96
Ga: 0.1322 0.1322 0.1322  3 Ru 2.61, 4 Ir 2.66-2.77
Ga: 0.3988 0.3988 0.3988  3 Ir 2.54, 1 Ru 2.56
Ga: 0.6012 0.6012 0.6012  3 Ir 2.54, 1 Ru 2.56
Ga: 0.8678 0.8678 0.8678  3 Ru 2.61, 4 Ir 2.66-2.77
Ir: 0.2418 0.2418 0.2418  7 Ga 2.54-2.77
Ir: 0.7582 0.7582 0.7582  7 Ga 2.54-2.77
Ru: 0.5000 0.5000 0.5000  8 Ga 2.56-2.61

Computed properties:
- Formation energy: -0.5469 eV/atom

=====

This record from the Alexandria database describes Dy2Ga4Ir3Ru after structural relaxation. The functional is PBE-GGA.

a = 4.3180 Å, b = 4.3180 Å, c = 9.8974 Å
α = 90.00°, β = 90.00°, γ = 90.00°
With the nearest neighbours (Å) after each atom.
Fractional coordinates of all 10 atoms:
Dy: 0.0000 0.5000 0.2260  2 Ru 3.11, 6 Ir 3.11-3.37, 9 Ga 3.21-3.47
Dy: 0.5000 0.0000 0.7740  2 Ru 3.11, 6 Ir 3.11-3.37, 9 Ga 3.21-3.47
Ga: 0.0000 0.0000 0.5000  4 Ir 2.51
Ga: 0.0000 0.5000 0.8754  3 Ir 2.44-2.49, 2 Ru 2.49
Ga: 0.5000 0.0000 0.1246  3 Ir 2.44-2.49, 2 Ru 2.49
Ga: 0.5000 0.5000 0.5000  4 Ir 2.51
Ir: 0.0000 0.0000 0.0000  4 Ga 2.49
Ir: 0.0000 0.5000 0.6291  5 Ga 2.44-2.51
Ir: 0.5000 0.0000 0.3709  5 Ga 2.44-2.51
Ru: 0.5000 0.5000 0.0000  4 Ga 2.49

Computed properties:
- Formation energy: -0.6404 eV/atom

=====

The highest formation energy belongs to which entry? Dy2GaIr2Rh5

=====

Which of these has the highest formation energy? Dy2GaIr2Rh5

=====

formation energy of number 3 (Dy2GaIr2Rh5)? -0.4323 eV/atom